Compound: Pm2Er5Ge4
Source: the Alexandria database
Functional: PBE
Structure: relaxed

The calculation puts the energy relative to the elements at -3.828 eV per formula unit. Its total moment is 0.00 μB per formula unit. As for the electronic total energy: -4.96 eV/atom.

It has space group C2/m (No. 12), with a = 25.559 Å, b = 3.465 Å, c = 6.925 Å, α = 90.00°, β = 93.47° and γ = 90.00°. The inequivalent atoms are Pm at (0.095, 0.000, 0.209), Er at (0.000, 0.500, 0.500), Er at (0.130, 0.000, 0.706), Er at (0.240, 0.000, 0.261), Ge at (0.024, 0.000, 0.843) and Ge at (0.176, 0.500, 0.005).